DFT (PBE-GGA) results for an optimized crystal structure of Dy2HoScSe5.

Computed properties:
space group	P4/mmm, No. 123
total magnetic moment	0.000	μB/atom
formation energy (no corrections)	-1.060	eV per atom

Cell lengths 5.115, 5.115, 10.255 Å; angles 90.00, 90.00, 90.00 degrees
Atoms (fractional coordinates):
Dy 0.500 0.500 0.703
Se 0.000 0.000 0.238
Se 0.500 0.000 0.500
Se 0.000 0.000 0.762
Ho 0.000 0.000 0.500
Sc 0.000 0.000 0.000
Se 0.000 0.500 0.500
Dy 0.500 0.500 0.297
Se 0.500 0.500 0.000

DFT (PBE-GGA) results for an optimized crystal structure of SmDyHo3Sc.

Computed properties:
space group	P2_1/m, No. 11
formation energy	0.037	eV per atom
total magnetic moment	0.000	μB/atom

Cell lengths 4.949, 7.829, 9.918 Å; angles 90.00, 90.00, 108.50 degrees
Atoms (fractional coordinates):
Dy 0.000 0.000 0.000
Sm 0.502 0.004 0.250
Ho 0.332 0.664 0.000
Ho 0.332 0.664 0.500
Ho 0.830 0.661 0.250
Sc 0.832 0.664 0.750
Ho 0.170 0.339 0.750
Ho 0.668 0.336 0.500
Sm 0.498 0.996 0.750
Dy 0.000 0.000 0.500
Sc 0.168 0.336 0.250
Ho 0.668 0.336 0.000

DFT (PBE-GGA) results for an optimized crystal structure of Sm3Dy6HoSc2.

Computed properties:
space group	C2/m, No. 12
formation energy	0.038	eV per atom
total magnetic moment	0.000	μB/atom

Cell lengths 6.100, 6.100, 11.627 Å; angles 95.01, 95.01, 119.97 degrees
Atoms (fractional coordinates):
Sc 0.667 0.333 0.000
Sm 0.833 0.167 0.500
Dy 0.745 0.745 0.242
Dy 0.417 0.081 0.242
Dy 0.255 0.255 0.758
Ho 0.000 0.000 0.000
Dy 0.919 0.583 0.758
Dy 0.081 0.417 0.242
Sm 0.167 0.833 0.500
Dy 0.583 0.919 0.758
Sc 0.333 0.667 0.000
Sm 0.500 0.500 0.500

DFT (PBE-GGA) results for an optimized crystal structure of SmDy2HoSc.

Computed properties:
space group	Cmcm, No. 63
formation energy	0.344	eV per atom
total magnetic moment	0.000	μB/atom

Cell lengths 7.075, 8.175, 6.942 Å; angles 126.07, 90.00, 90.00 degrees
Atoms (fractional coordinates):
Sc 0.750 0.004 0.009
Dy 0.000 0.303 0.000
Sm 0.250 0.730 0.460
Ho 0.750 0.733 0.467
Sm 0.750 0.270 0.540
Sc 0.250 0.996 0.991
Dy 0.500 0.303 0.000
Ho 0.250 0.267 0.533
Dy 0.000 0.697 0.000
Dy 0.500 0.697 0.000

DFT (PBE-GGA) results for an optimized crystal structure of Sm3Dy2Ho6Sc.

Computed properties:
space group	C2/m, No. 12
formation energy	0.028	eV per atom
total magnetic moment	0.000	μB/atom

Cell lengths 6.119, 6.119, 11.692 Å; angles 95.00, 95.00, 119.98 degrees
Atoms (fractional coordinates):
Sm 0.833 0.167 0.500
Ho 0.412 0.082 0.245
Ho 0.918 0.588 0.755
Ho 0.082 0.412 0.245
Ho 0.249 0.249 0.754
Sc 0.000 0.000 0.000
Sm 0.500 0.500 0.500
Ho 0.588 0.918 0.755
Dy 0.334 0.666 0.000
Sm 0.167 0.833 0.500
Ho 0.751 0.751 0.246
Dy 0.666 0.334 0.000

DFT (PBE-GGA) results for an optimized crystal structure of SmDy3HoSc.

Computed properties:
space group	Cmcm, No. 63
formation energy	0.036	eV per atom
total magnetic moment	0.000	μB/atom

Cell lengths 4.953, 7.836, 9.942 Å; angles 90.00, 90.00, 108.42 degrees
Atoms (fractional coordinates):
Sm 0.502 0.005 0.250
Dy 0.668 0.335 0.000
Dy 0.332 0.665 0.500
Dy 0.668 0.335 0.500
Ho 0.000 0.000 0.500
Sc 0.168 0.336 0.250
Sm 0.498 0.995 0.750
Sc 0.832 0.664 0.750
Dy 0.831 0.661 0.250
Dy 0.169 0.339 0.750
Dy 0.332 0.665 0.000
Ho 0.000 0.000 0.000

DFT (PBE-GGA) results for an optimized crystal structure of SmDyHo5Sc2.

Computed properties:
space group	Cmc2_1, No. 36
formation energy	0.169	eV per atom
total magnetic moment	0.000	μB/atom

Cell lengths 5.574, 11.039, 9.303 Å; angles 90.00, 90.00, 104.62 degrees
Atoms (fractional coordinates):
Ho 0.265 0.530 0.334
Sm 0.185 0.371 0.018
Dy 0.597 0.194 0.919
Sc 0.887 0.774 0.825
Sc 0.113 0.226 0.325
Ho 0.735 0.470 0.834
Sc 0.138 0.276 0.699
Ho 0.392 0.784 0.046
Ho 0.010 0.019 0.016
Ho 0.307 0.615 0.719
Ho 0.531 0.063 0.248
Ho 0.693 0.385 0.219
Sc 0.862 0.724 0.199
Sm 0.815 0.629 0.518
Dy 0.403 0.806 0.419
Ho 0.469 0.937 0.748
Ho 0.608 0.216 0.546
Ho 0.990 0.981 0.516

DFT (PBE-GGA) results for an optimized crystal structure of Sm6Dy2HoSc3.

Computed properties:
space group	C2/m, No. 12
formation energy	0.044	eV per atom
total magnetic moment	0.000	μB/atom

Cell lengths 6.116, 6.116, 11.489 Å; angles 95.08, 95.08, 119.97 degrees
Atoms (fractional coordinates):
Sm 0.247 0.247 0.741
Sm 0.753 0.753 0.259
Sm 0.914 0.580 0.741
Sm 0.086 0.420 0.259
Dy 0.333 0.667 0.000
Sm 0.420 0.086 0.259
Dy 0.667 0.333 0.000
Sc 0.500 0.500 0.500
Ho 0.000 0.000 0.000
Sc 0.833 0.167 0.500
Sm 0.580 0.914 0.741
Sc 0.167 0.833 0.500

DFT (PBE-GGA) results for an optimized crystal structure of SmDy6Ho3Sc2.

Computed properties:
space group	C2/m, No. 12
formation energy	0.036	eV per atom
total magnetic moment	0.000	μB/atom

Cell lengths 6.059, 6.059, 11.586 Å; angles 94.98, 94.98, 119.95 degrees
Atoms (fractional coordinates):
Dy 0.083 0.418 0.246
Sm 0.000 0.000 0.000
Ho 0.500 0.500 0.500
Dy 0.582 0.917 0.754
Sc 0.667 0.333 0.000
Dy 0.418 0.083 0.246
Dy 0.917 0.582 0.754
Dy 0.746 0.746 0.246
Ho 0.167 0.833 0.500
Sc 0.333 0.667 0.000
Ho 0.833 0.167 0.500
Dy 0.254 0.254 0.754

DFT (PBE-GGA) results for an optimized crystal structure of Sm2DyHo5Sc.

Computed properties:
space group	Cmc2_1, No. 36
formation energy	0.159	eV per atom
total magnetic moment	0.000	μB/atom

Cell lengths 5.530, 10.317, 10.347 Å; angles 90.00, 90.00, 105.54 degrees
Atoms (fractional coordinates):
Ho 0.017 0.034 0.017
Dy 0.409 0.818 0.458
Ho 0.725 0.449 0.821
Ho 0.482 0.964 0.740
Dy 0.591 0.182 0.958
Ho 0.624 0.249 0.520
Ho 0.275 0.551 0.321
Sc 0.196 0.391 0.015
Sm 0.115 0.230 0.735
Ho 0.299 0.598 0.704
Ho 0.376 0.751 0.020
Sm 0.885 0.770 0.235
Sc 0.804 0.609 0.515
Sm 0.888 0.775 0.814
Sm 0.112 0.225 0.314
Ho 0.701 0.402 0.204
Ho 0.518 0.036 0.240
Ho 0.983 0.966 0.517

DFT (PBE-GGA) results for an optimized crystal structure of SmDyHo2Sc4.

Computed properties:
space group	P2/m, No. 10
formation energy	0.059	eV per atom
total magnetic moment	0.001	μB/atom

Cell lengths 3.424, 5.930, 11.151 Å; angles 79.86, 90.00, 90.00 degrees
Atoms (fractional coordinates):
Sc 0.000 0.751 0.749
Ho 0.000 0.000 0.000
Sc 0.000 0.249 0.251
Sm 0.500 0.500 0.000
Ho 0.500 0.000 0.500
Sc 0.500 0.751 0.251
Sc 0.500 0.249 0.749
Dy 0.000 0.500 0.500

DFT (PBE-GGA) results for an optimized crystal structure of Sm5Dy2HoSc.

Computed properties:
space group	Cmc2_1, No. 36
formation energy	0.129	eV per atom
total magnetic moment	0.000	μB/atom

Cell lengths 5.329, 11.215, 10.139 Å; angles 90.00, 90.00, 103.74 degrees
Atoms (fractional coordinates):
Sm 0.279 0.558 0.321
Ho 0.399 0.798 0.508
Sc 0.785 0.571 0.508
Sm 0.500 0.000 0.258
Dy 0.884 0.768 0.757
Sm 0.626 0.253 0.508
Dy 0.116 0.232 0.257
Dy 0.116 0.232 0.759
Sm 0.721 0.442 0.821
Sm 0.374 0.747 0.008
Sm 0.721 0.442 0.196
Sm 0.001 0.002 0.508
Sc 0.215 0.429 0.009
Ho 0.601 0.202 0.008
Sm 0.999 0.998 0.008
Sm 0.500 0.000 0.758
Sm 0.279 0.558 0.696
Dy 0.884 0.768 0.259